Material: CrReRu2
Method: DFT, PBE
State: relaxed

abc: 2.702 2.702 7.536
angles: 90.00 90.00 90.00
Fractional coordinates of all 4 atoms:
Ru: 0.500 0.500 0.265
Ru: 0.000 0.000 0.998
Re: 0.500 0.500 0.745
Cr: 0.000 0.000 0.492

Density of states at the Fermi level ... 3.27 states/eV/cell
Distance to the lowest polymorph of the same formula ... 39 meV/atom
DFT formation energy ... 106 meV per atom
Symmetry ... P4mm (99)

***

Material: Nd4Er3Tm2
Method: DFT, PBE
State: relaxed

abc: 7.049 9.790 9.790
angles: 59.71 90.02 90.02
Fractional coordinates of all 18 atoms:
Tm: 0.999 0.526 0.822
Tm: 0.499 0.822 0.526
Tm: 0.001 0.474 0.178
Tm: 0.501 0.178 0.474
Er: 0.750 0.172 0.170
Er: 0.750 0.500 0.500
Er: 0.250 0.828 0.830
Er: 0.250 0.170 0.172
Er: 0.250 0.500 0.500
Er: 0.750 0.830 0.828
Nd: 0.499 0.474 0.848
Nd: 0.000 0.180 0.849
Nd: 0.500 0.151 0.820
Nd: 0.500 0.849 0.180
Nd: 0.999 0.848 0.474
Nd: 0.001 0.152 0.526
Nd: 0.501 0.526 0.152
Nd: 0.000 0.820 0.151

Density of states at the Fermi level ... 24.34 states/eV/cell
Distance to the lowest polymorph of the same formula ... 0 meV/atom
DFT formation energy ... 46 meV per atom
Symmetry ... C2/c (15)

***

Material: IrPb2Se
Method: DFT, PBE
State: relaxed

abc: 5.142 5.142 3.530
angles: 90.00 90.00 99.97
Fractional coordinates of all 4 atoms:
Se: 0.500 0.000 0.500
Pb: 0.000 0.000 0.000
Pb: 0.500 0.500 0.000
Ir: 0.000 0.500 0.500

Uncorrected formation energy ... 0.340 eV per atom
Density of states at the Fermi level ... 2.58 states/eV/cell
Symmetry ... Cmmm (65)

***

Material: Ta2InP
Method: DFT, PBE
State: relaxed

abc: 3.206 3.206 16.381
angles: 90.00 90.00 120.00
Fractional coordinates of all 8 atoms:
Ta: 0.333 0.667 0.149
Ta: 0.667 0.333 0.649
Ta: 0.667 0.333 0.851
Ta: 0.333 0.667 0.351
P: 0.333 0.667 0.750
P: 0.667 0.333 0.250
In: 0.000 0.000 0.500
In: 0.000 0.000 0.000

Density of states at the Fermi level ... 4.68 states/eV/cell
Distance to the lowest polymorph of the same formula ... 0 meV/atom
DFT formation energy ... -292 meV per atom
Symmetry ... P6_3/mmc (194)

***

Material: CoP2RhCl
Method: DFT, PBE
State: relaxed

abc: 4.225 4.225 4.687
angles: 90.00 90.00 90.00
Fractional coordinates of all 5 atoms:
P: 0.000 0.500 0.000
P: 0.500 0.000 0.000
Cl: 0.000 0.000 0.500
Co: 0.000 0.000 0.000
Rh: 0.500 0.500 0.500

Uncorrected formation energy ... 0.622 eV per atom
Density of states at the Fermi level ... 3.86 states/eV/cell
Distance to the lowest polymorph of the same formula ... 0 meV/atom
Symmetry ... P4/mmm (123)

***

Material: TlAsBr2
Method: DFT, PBE
State: relaxed

abc: 5.271 7.671 7.921
angles: 90.00 102.60 90.00
Fractional coordinates of all 8 atoms:
As: 0.000 0.500 0.713
As: 0.000 0.000 0.213
Br: 0.875 0.757 0.391
Br: 0.875 0.257 0.891
Br: 0.875 0.243 0.391
Br: 0.875 0.743 0.891
Tl: 0.439 0.000 0.546
Tl: 0.439 0.500 0.046

Uncorrected formation energy ... -0.233 eV per atom
Distance to the lowest polymorph of the same formula ... 29 meV/atom
Symmetry ... Cm (8)

***

Material: U2NiGe4Rh3
Method: DFT, PBE
State: relaxed

abc: 4.157 4.157 10.163
angles: 90.00 90.00 90.00
Last column: magnetic moment on the atom in μB.
Fractional coordinates of all 10 atoms:
U: 0.500 0.000 0.249  2.12
U: 0.000 0.500 0.751  2.12
Ge: 0.500 0.500 0.000  -0.01
Ge: 0.000 0.500 0.372  0.00
Ge: 0.000 0.000 0.000  -0.01
Ge: 0.500 0.000 0.628  0.00
Ni: 0.500 0.500 0.500  0.26
Rh: 0.500 0.000 0.866  -0.08
Rh: 0.000 0.500 0.134  -0.08
Rh: 0.000 0.000 0.500  0.12

Density of states at the Fermi level ... 20.37 states/eV/cell
DFT formation energy ... -470 meV per atom
Symmetry ... P-4m2 (115)

***

Material: LaPaCrC3
Method: DFT, PBE
State: relaxed

abc: 3.620 7.619 7.564
angles: 98.59 90.00 90.00
Fractional coordinates of all 12 atoms:
Cr: 0.750 0.907 0.409
Cr: 0.250 0.093 0.591
C: 0.750 0.874 0.166
C: 0.250 0.576 0.868
C: 0.250 0.126 0.834
C: 0.250 0.848 0.478
C: 0.750 0.152 0.522
C: 0.750 0.424 0.132
La: 0.750 0.829 0.809
La: 0.250 0.171 0.191
Pa: 0.250 0.637 0.176
Pa: 0.750 0.363 0.824

Density of states at the Fermi level ... 8.33 states/eV/cell
DFT formation energy ... -101 meV per atom
Symmetry ... P2_1/m (11)

***

Material: V2SiNiCl
Method: DFT, PBE
State: relaxed

abc: 4.615 4.102 4.615
angles: 90.00 90.00 90.00
Last column: magnetic moment on the atom in μB.
Fractional coordinates of all 5 atoms:
V: 0.000 0.000 0.500  0.06
V: 0.500 0.000 0.000  0.14
Si: 0.000 0.500 0.000  0.00
Cl: 0.500 0.500 0.500  -0.02
Ni: 0.000 0.000 0.000  0.06

Uncorrected formation energy ... 0.795 eV per atom
Density of states at the Fermi level ... 9.87 states/eV/cell
Symmetry ... P4/mmm (123)

***

Material: ScCoP2Cl
Method: DFT, PBE
State: relaxed

abc: 4.988 4.988 4.830
angles: 90.00 90.00 90.00
Last column: magnetic moment on the atom in μB.
Fractional coordinates of all 5 atoms:
Sc: 0.000 0.000 0.000  0.01
P: 0.500 0.000 0.000  0.07
P: 0.000 0.500 0.000  0.07
Cl: 0.000 0.000 0.500  0.07
Co: 0.500 0.500 0.500  2.30

Uncorrected formation energy ... 0.503 eV per atom
Density of states at the Fermi level ... 6.90 states/eV/cell
Distance to the lowest polymorph of the same formula ... 627 meV/atom
Symmetry ... P4/mmm (123)

***

Material: MnCr2InB
Method: DFT, PBE
State: relaxed

abc: 5.581 4.304 5.581
angles: 90.00 90.00 90.00
Last column: magnetic moment on the atom in μB.
Fractional coordinates of all 5 atoms:
Cr: 0.000 0.000 0.500  4.05
Cr: 0.500 0.000 0.000  4.02
Mn: 0.500 0.500 0.500  -4.39
In: 0.000 0.000 0.000  0.02
B: 0.000 0.500 0.000  -0.03

Density of states at the Fermi level ... 3.39 states/eV/cell
DFT formation energy ... 1871 meV per atom
Symmetry ... P4/mmm (123)

***

Material: SrAcTaN3
Method: DFT, PBE
State: relaxed

abc: 4.066 7.359 7.523
angles: 104.85 90.00 106.04
Fractional coordinates of all 12 atoms:
N: 0.502 0.005 0.763
N: 0.853 0.706 0.683
N: 0.147 0.294 0.317
N: 0.848 0.696 0.163
N: 0.152 0.304 0.837
N: 0.498 0.995 0.237
Ta: 0.999 0.998 0.286
Ta: 0.001 0.002 0.714
Sr: 0.340 0.679 0.420
Sr: 0.660 0.321 0.580
Ac: 0.352 0.705 0.926
Ac: 0.648 0.295 0.074

Uncorrected formation energy ... -1.034 eV per atom
Symmetry ... C2/m (12)